Here is a relaxed structure of KP2Pt from the Alexandria database. Energies are from PBE.

Lattice parameters (Å, degrees): 4.7386 4.7386 4.7386 60.00 60.00 60.00
Fractional coordinates of all 4 atoms:
K: 0.5000 0.5000 0.5000
P: 0.0000 0.0000 0.0000
P: 0.2500 0.2500 0.2500
Pt: 0.7500 0.7500 0.7500

Results
- Polymorph energy (0 for the lowest one): 4.47 eV/f.u.
- ΔE_f: 691 meV per atom